Entry 1:
A geometry-optimized SrZrSb2Ru structure. Source: the Alexandria database, functional PBE.

Cell: 5.693 4.680 5.693 Å, 90.00 90.00 90.00°
Element x y z (fractional)
Sb 0.000 0.000 0.500
Sb 0.500 0.000 0.000
Sr 0.000 0.000 0.000
Zr 0.500 0.500 0.500
Ru 0.000 0.500 0.000

- ΔE_f (raw) (eV/atom) = 1.468
- mass density (g cm⁻³) = 5.730



Entry 2:
A geometry-optimized BiSbPdO6 structure. Source: the Alexandria database, functional PBE.

Cell: 5.308 5.308 10.040 Å, 90.00 90.00 120.00°
Element x y z (fractional)
Bi 0.000 0.000 0.000
Bi 0.000 0.000 0.500
Sb 0.667 0.333 0.250
Sb 0.333 0.667 0.750
Pd 0.333 0.667 0.250
Pd 0.667 0.333 0.750
O 0.636 0.635 0.139
O 0.999 0.364 0.139
O 0.364 0.999 0.639
O 0.001 0.636 0.861
O 0.365 0.364 0.361
O 0.999 0.635 0.361
O 0.635 0.999 0.861
O 0.636 0.001 0.361
O 0.001 0.365 0.639
O 0.365 0.001 0.139
O 0.635 0.636 0.639
O 0.364 0.365 0.861

- ΔE_f (raw) (eV/atom) = -1.048
- mass density (g cm⁻³) = 7.228



Entry 3:
A geometry-optimized Ho5Mg2In5 structure. Source: the Alexandria database, functional PBE.

Cell: 5.001 6.327 11.729 Å, 110.62 90.00 113.28°
Element x y z (fractional)
Ho 0.500 0.000 0.500
Ho 0.652 0.304 0.996
Ho 0.628 0.255 0.268
Ho 0.372 0.745 0.732
Ho 0.348 0.696 0.004
Mg 0.083 0.166 0.751
Mg 0.917 0.834 0.249
In 0.167 0.335 0.455
In 0.724 0.447 0.770
In 0.276 0.553 0.230
In 0.833 0.665 0.545
In 0.000 0.000 0.000

- mass density (g cm⁻³) = 7.634
- ΔE_f (eV per formula unit) = -3.35



Entry 4:
A geometry-optimized Tl2CuAg structure. Source: the Alexandria database, functional PBE.

Cell: 4.953 4.953 3.607 Å, 90.00 90.00 89.99°
Element x y z (fractional)
Ag 0.500 0.000 0.500
Cu 0.000 0.500 0.500
Tl 0.000 0.000 0.000
Tl 0.500 0.500 0.000

- mass density (g cm⁻³) = 10.891
- ΔE_f (eV per formula unit) = 1.11



Entry 5:
A geometry-optimized Cd3H4Rh4 structure. Source: the Alexandria database, functional PBE.

Cell: 3.060 4.502 9.953 Å, 76.95 80.90 89.97°
Element x y z (fractional)
Cd 0.642 0.140 0.717
Cd 0.358 0.860 0.283
Cd 0.000 0.000 0.000
H 0.549 0.539 0.901
H 0.451 0.461 0.099
H 0.817 0.319 0.370
H 0.183 0.681 0.630
Rh 0.089 0.587 0.824
Rh 0.269 0.268 0.464
Rh 0.731 0.732 0.536
Rh 0.911 0.413 0.176

- raw total energy (eV/cell) = -46.03
- mass density (g cm⁻³) = 9.484



Entry 6:
A geometry-optimized Ba2LaSi structure. Source: the Alexandria database, functional PBE.

Cell: 7.937 6.386 3.910 Å, 89.64 61.15 118.28°
Element x y z (fractional)
Ba 0.000 0.000 0.000
Ba 0.500 0.000 0.500
La 0.000 0.500 0.500
Si 0.500 0.500 0.000

- ΔE_f (raw) (eV/atom) = 0.185
- mass density (g cm⁻³) = 5.037



Entry 7:
A geometry-optimized TlSe2IN structure. Source: the Alexandria database, functional PBE.

Cell: 5.697 5.697 4.015 Å, 90.00 90.00 90.00°
Each line ends with the local moment (μB).
Element x y z (fractional)
I 0.000 0.000 0.000  -0.01
Tl 0.500 0.500 0.500  0.03
Se 0.000 0.500 0.000  0.21
Se 0.500 0.000 0.000  0.21
N 0.000 0.000 0.500  0.13

- ΔE_f (raw) (eV/atom) = 0.966
- mass density (g cm⁻³) = 6.413



Entry 8:
A geometry-optimized Mg3ZrIr4 structure. Source: the Alexandria database, functional PBE.

Cell: 5.488 5.488 5.488 Å, 109.47 109.47 109.47°
Element x y z (fractional)
Mg 0.000 0.500 0.500
Mg 0.500 0.000 0.500
Mg 0.500 0.500 0.000
Ir 0.000 0.000 0.500
Ir 0.500 0.500 0.500
Ir 0.500 0.000 0.000
Ir 0.000 0.500 0.000
Zr 0.000 0.000 0.000

- mass density (g cm⁻³) = 12.174
- ΔE_f (eV per formula unit) = -4.20



Entry 9:
A geometry-optimized Sb2Br structure. Source: the Alexandria database, functional PBE.

Cell: 6.234 6.234 6.234 Å, 60.00 60.00 60.00°
Element x y z (fractional)
Sb 0.625 0.125 0.125
Sb 0.125 0.625 0.125
Sb 0.125 0.125 0.625
Sb 0.125 0.125 0.125
Br 0.500 0.500 0.500
Br 0.750 0.750 0.750

- ΔE_f (raw) (eV/atom) = 0.164
- mass density (g cm⁻³) = 6.270



Entry 10:
A geometry-optimized NdDy4Tm2 structure. Source: the Alexandria database, functional PBE.

Cell: 6.158 6.500 11.557 Å, 90.00 106.63 90.00°
Element x y z (fractional)
Nd 0.179 0.750 0.139
Nd 0.821 0.250 0.861
Dy 0.639 0.493 0.288
Dy 0.991 0.750 0.837
Dy 0.009 0.250 0.163
Dy 0.639 0.007 0.288
Dy 0.866 0.250 0.572
Dy 0.361 0.993 0.712
Dy 0.361 0.507 0.712
Dy 0.134 0.750 0.428
Tm 0.612 0.750 0.004
Tm 0.388 0.250 0.996
Tm 0.304 0.250 0.448
Tm 0.696 0.750 0.552

- mass density (g cm⁻³) = 8.483
- ΔE_f (eV per formula unit) = 0.91



Entry 11:
A geometry-optimized SmScCd structure. Source: the Alexandria database, functional PBE.

Cell: 5.053 5.053 5.053 Å, 90.07 119.96 119.96°
Element x y z (fractional)
Sm 0.944 0.472 0.417
Sc 0.944 0.972 0.917
Cd 0.444 0.222 0.667

- mass density (g cm⁻³) = 5.599
- ΔE_f (eV per formula unit) = 0.41



Entry 12:
A geometry-optimized MgHg4S5 structure. Source: the Alexandria database, functional PBE.

Cell: 6.717 6.909 6.909 Å, 76.33 60.92 60.92°
Element x y z (fractional)
Mg 0.047 0.000 0.000
Hg 0.561 0.301 0.707
Hg 0.862 0.707 0.699
Hg 0.268 0.293 0.301
Hg 0.569 0.699 0.293
S 0.943 0.289 0.715
S 0.232 0.715 0.711
S 0.658 0.285 0.289
S 0.947 0.711 0.285
S 0.423 0.000 0.000

- ΔE_f (raw) (eV/atom) = -0.278
- mass density (g cm⁻³) = 6.693



Number 1: magnetization 0.000 μB/atom. Number 2: magnetization 0.000 μB/atom. Number 3: magnetization 0.000 μB/atom. Number 4: magnetization 0.000 μB/atom. Number 5: magnetization 0.000 μB/atom. Number 6: magnetization 0.000 μB/atom. Number 7: magnetization 0.177 μB/atom. Number 8: magnetization 0.000 μB/atom. Number 9: magnetization 0.000 μB/atom. Number 10: magnetization 0.000 μB/atom. Number 11: magnetization 0.016 μB/atom. Number 12: magnetization 0.000 μB/atom.